# NaScS2 PBE optimized geometry
data_NaScS2
_space_group_name_H-M_alt 'P 1'
_space_group_IT_number 1
_cell_length_a 3.755
_cell_length_b 3.755
_cell_length_c 13.613
_cell_angle_alpha 97.92
_cell_angle_beta 97.92
_cell_angle_gamma 60.01
loop_
_space_group_symop_operation_xyz
'x,y,z'
loop_
_atom_site_label
_atom_site_fract_x
_atom_site_fract_y
_atom_site_fract_z
_atom_site_occupancy
Na1 0.000 0.000 0.000 1
Na2 0.500 0.500 0.500 1
Sc1 0.085 0.085 0.253 1
Sc2 0.915 0.915 0.747 1
S1 0.213 0.213 0.640 1
S2 0.382 0.382 0.145 1
S3 0.618 0.618 0.855 1
S4 0.787 0.787 0.360 1
# Space-group type: C2/m
# M_tot in μB/f.u.: 0.00
# Energy relative to the elements, uncorrected in eV per atom: -1.73